Computed, not measured: a relaxed structure of DyHoSiRh at the PBE level of DFT.

Cell lengths 4.0181, 4.1109, 10.5024 Å; angles 90.00, 90.00, 90.00 degrees
With the nearest neighbours (Å) after each atom.
Space group Amm2 (No. 38)
Symmetry-distinct sites (fractional):
Dy 0.0000 0.0000 0.0000 [2 per cell]  4 Rh 2.95, 3 Si 3.02-3.04
Ho 0.5000 0.0000 0.7183 [2 per cell]  4 Si 2.97, 3 Rh 2.97-3.07
Si 0.0000 0.0000 0.2895 [2 per cell]  2 Rh 2.53
Rh 0.5000 0.0000 0.4352 [2 per cell]  2 Si 2.53

**Final energy**: -6.345 eV per atom